Here is a relaxed ScWI2O crystal from Alexandria via LeMat-Bulk. Energies are from GGA+U.

a b c (Å): 6.075 6.075 3.877
angles (deg): 90.00 90.00 90.00
Each line ends with the local moment (μB).
Fractional coordinates of all 5 atoms:
Sc 0.000 0.000 0.000  0.01
O 0.000 0.000 0.500  0.01
W 0.500 0.500 0.500  3.72
I 0.500 0.000 0.000  0.05
I 0.000 0.500 0.000  0.05

Calculated values
VASP energy   -24.381 eV per cell
Total magnetization   0.951 μB/atom
Distance to the lowest polymorph of the same formula   0.0 meV/atom